(1)
This record from the Alexandria database describes a crystal of ScFe2BRh relaxed with PBEsol. The functional is SCAN.

magnetic moment = 0.749 μB per atom
space group = P4/mmm (123)
raw total energy = -18.389 eV/atom
formation enthalpy at 0 K = -0.049 eV per atom

Cell lengths 3.7601, 3.7601, 4.4565 Å; angles 90.00, 90.00, 90.00 degrees
Closest atoms and distances in Å follow each position.
Positions (direct):
1 Sc 0.0000 0.0000 0.5000  2 B 2.23
2 B 0.0000 0.0000 0.0000  4 Fe 1.88
3 Rh 0.5000 0.5000 0.5000  4 Sc 2.66, 8 Fe 2.92
4 Fe 0.0000 0.5000 0.0000  2 B 1.88
5 Fe 0.5000 0.0000 0.0000  2 B 1.88

=====

(2)
This record from the Alexandria database describes a crystal of Ta3AlP relaxed with PBEsol. The functional is SCAN.

magnetic moment = 0.000 μB per atom
space group = Pm-3m (221)
raw total energy = -43.165 eV/atom
formation enthalpy at 0 K = 0.415 eV per atom

Cell lengths 4.5477, 4.5477, 4.5477 Å; angles 90.00, 90.00, 90.00 degrees
Closest atoms and distances in Å follow each position.
Positions (direct):
1 P 0.0000 0.0000 0.0000  6 Ta 2.27
2 Al 0.5000 0.5000 0.5000  12 Ta 3.22
3 Ta 0.0000 0.5000 0.0000  2 P 2.27
4 Ta 0.0000 0.0000 0.5000  2 P 2.27
5 Ta 0.5000 0.0000 0.0000  2 P 2.27

=====

The following volume values (in Å³/atom) correspond, in order, to the records above: 12.6; 18.8.